No. 1
An optimized crystal structure of Mg2Cu7Ge2Au, computed with PBE-GGA.

Properties
**Electronic total energy**: -3.6969 eV per atom
**ΔE_f**: 0.012 eV per formula unit
**V**: 15.198 A^3/atom

Lattice parameters (Å, degrees): 3.7093 3.7093 13.5199 81.99 81.99 89.88
Closest atoms and distances in Å follow each position.
Element x y z (fractional)
Mg 0.6784 0.6784 0.6529  1 Cu 2.61, 4 Ge 2.80-2.82
Mg 0.3216 0.3216 0.3471  1 Cu 2.61, 4 Ge 2.80-2.82
Cu 0.5000 0.5000 0.0000  4 Au 2.62-2.63, 8 Cu 2.71
Cu 0.2405 0.2405 0.5439  1 Ge 2.45, 1 Mg 2.61
Cu 0.7595 0.7595 0.4561  1 Ge 2.45, 1 Mg 2.61
Cu 0.9255 0.4247 0.1490  2 Ge 2.46-2.47, 6 Cu 2.62-2.71, 2 Au 2.71
Cu 0.4247 0.9255 0.1490  2 Ge 2.46-2.47, 6 Cu 2.62-2.71, 2 Au 2.71
Cu 0.5753 0.0745 0.8510  2 Ge 2.46-2.47, 6 Cu 2.62-2.71, 2 Au 2.71
Cu 0.0745 0.5753 0.8510  2 Ge 2.46-2.47, 6 Cu 2.62-2.71, 2 Au 2.71
Ge 0.8616 0.8616 0.2716  5 Cu 2.45-2.47
Ge 0.1384 0.1384 0.7284  5 Cu 2.45-2.47
Au 0.0000 0.0000 0.0000  12 Cu 2.62-2.71

No. 2
An optimized crystal structure of CsPuZrS4, computed with PBE-GGA.

Properties
**Electronic total energy**: -7.2082 eV per atom
**Raw formation energy**: -1459 meV per atom
**V**: 31.721 A^3/atom

Lattice parameters (Å, degrees): 6.9992 7.0294 10.4696 90.00 120.44 90.00
Closest atoms and distances in Å follow each position.
Element x y z (fractional)
Cs 0.5990 0.7500 0.9258  6 S 3.37-3.77
Cs 0.4010 0.2500 0.0742  6 S 3.37-3.77
Pu 0.7957 0.7500 0.4556  6 S 2.79-2.85
Pu 0.2043 0.2500 0.5444  6 S 2.79-2.85
Zr 0.2087 0.7500 0.3383  4 S 2.36-2.46
Zr 0.7913 0.2500 0.6617  4 S 2.36-2.46
S 0.0553 0.5000 0.6874  1 Zr 2.46
S 0.9447 0.0000 0.3126  1 Zr 2.46
S 0.9447 0.5000 0.3126  1 Zr 2.46
S 0.0553 0.0000 0.6874  1 Zr 2.46
S 0.3776 0.7500 0.1872  1 Zr 2.41
S 0.6224 0.2500 0.8128  1 Zr 2.41
S 0.5209 0.7500 0.5806  1 Zr 2.36
S 0.4791 0.2500 0.4194  1 Zr 2.36

No. 3
An optimized crystal structure of SrBeTlGa2, computed with PBE-GGA.

Properties
**Electronic total energy**: -2.6672 eV per atom
**ΔE_f**: 0.492 eV per formula unit
**V**: 24.257 A^3/atom

Lattice parameters (Å, degrees): 4.6392 5.6353 4.6392 90.00 90.00 90.00
Closest atoms and distances in Å follow each position.
Element x y z (fractional)
Sr 0.0000 0.5000 0.0000  2 Be 2.82
Tl 0.5000 0.5000 0.5000  4 Sr 3.28, 8 Ga 3.65
Ga 0.0000 0.0000 0.5000  2 Be 2.32
Ga 0.5000 0.0000 0.0000  2 Be 2.32
Be 0.0000 0.0000 0.0000  4 Ga 2.32

- What is the V in the second record?
  31.721 A^3/atom

What did the second record say?
An optimized crystal structure of CsPuZrS4, computed with PBE-GGA.

Properties
**Electronic total energy**: -7.2082 eV per atom
**Raw formation energy**: -1459 meV per atom
**V**: 31.721 A^3/atom

Lattice parameters (Å, degrees): 6.9992 7.0294 10.4696 90.00 120.44 90.00
Closest atoms and distances in Å follow each position.
Element x y z (fractional)
Cs 0.5990 0.7500 0.9258  6 S 3.37-3.77
Cs 0.4010 0.2500 0.0742  6 S 3.37-3.77
Pu 0.7957 0.7500 0.4556  6 S 2.79-2.85
Pu 0.2043 0.2500 0.5444  6 S 2.79-2.85
Zr 0.2087 0.7500 0.3383  4 S 2.36-2.46
Zr 0.7913 0.2500 0.6617  4 S 2.36-2.46
S 0.0553 0.5000 0.6874  1 Zr 2.46
S 0.9447 0.0000 0.3126  1 Zr 2.46
S 0.9447 0.5000 0.3126  1 Zr 2.46
S 0.0553 0.0000 0.6874  1 Zr 2.46
S 0.3776 0.7500 0.1872  1 Zr 2.41
S 0.6224 0.2500 0.8128  1 Zr 2.41
S 0.5209 0.7500 0.5806  1 Zr 2.36
S 0.4791 0.2500 0.4194  1 Zr 2.36

Copy entry 1 word for word.
An optimized crystal structure of Mg2Cu7Ge2Au, computed with PBE-GGA.

Properties
**Electronic total energy**: -3.6969 eV per atom
**ΔE_f**: 0.012 eV per formula unit
**V**: 15.198 A^3/atom

Lattice parameters (Å, degrees): 3.7093 3.7093 13.5199 81.99 81.99 89.88
Closest atoms and distances in Å follow each position.
Element x y z (fractional)
Mg 0.6784 0.6784 0.6529  1 Cu 2.61, 4 Ge 2.80-2.82
Mg 0.3216 0.3216 0.3471  1 Cu 2.61, 4 Ge 2.80-2.82
Cu 0.5000 0.5000 0.0000  4 Au 2.62-2.63, 8 Cu 2.71
Cu 0.2405 0.2405 0.5439  1 Ge 2.45, 1 Mg 2.61
Cu 0.7595 0.7595 0.4561  1 Ge 2.45, 1 Mg 2.61
Cu 0.9255 0.4247 0.1490  2 Ge 2.46-2.47, 6 Cu 2.62-2.71, 2 Au 2.71
Cu 0.4247 0.9255 0.1490  2 Ge 2.46-2.47, 6 Cu 2.62-2.71, 2 Au 2.71
Cu 0.5753 0.0745 0.8510  2 Ge 2.46-2.47, 6 Cu 2.62-2.71, 2 Au 2.71
Cu 0.0745 0.5753 0.8510  2 Ge 2.46-2.47, 6 Cu 2.62-2.71, 2 Au 2.71
Ge 0.8616 0.8616 0.2716  5 Cu 2.45-2.47
Ge 0.1384 0.1384 0.7284  5 Cu 2.45-2.47
Au 0.0000 0.0000 0.0000  12 Cu 2.62-2.71